First-principles (GGA+U) data for a relaxed structure of CrSI2O, as listed in Alexandria.

Properties
VASP energy	-3.748	eV per atom
ρ	4913	kg/m3
SG	No. 123
energy above the lowest structure with this stoichiometry	0	kJ/mol of formula units
total moment	5.0	μB/f.u.
Fermi-level density of states	1.88	states/eV/cell

CIF file:
```
data_CrSI2O
_symmetry_space_group_name_H-M 'P 1'
_symmetry_Int_Tables_number 1
_symmetry_space_group_name_Hall 'P 1'
_cell_length_a 5.742
_cell_length_b 5.742
_cell_length_c 3.628
_cell_angle_alpha 90.00
_cell_angle_beta 90.00
_cell_angle_gamma 90.00
loop_
_atom_site_label
_atom_site_type_symbol
_atom_site_fract_x
_atom_site_fract_y
_atom_site_fract_z
I1 I 0.000 0.500 0.000
I2 I 0.500 0.000 0.000
Cr1 Cr 0.500 0.500 0.500
S1 S 0.000 0.000 0.000
O1 O 0.000 0.000 0.500
```